1.
## Na2Bi2Pt (GGA-PBEsol)

Data for a geometry-optimized Na2Bi2Pt structure.

Raw total energy, eV per cell: -39.1
Total magnetization, μB per formula unit: 0.00

Cell lengths 7.1770, 7.1770, 5.1751 Å; angles 90.00, 90.00, 90.00 degrees
Space group P4/mbm (No. 127)
Unique sites:
Na: 0.1689 0.3311 0.0000 x4
Bi: 0.1506 0.6506 0.5000 x4
Pt: 0.0000 0.0000 0.5000 x2



2.
## NaReBi2Se (GGA-PBEsol)

Data for a geometry-optimized NaReBi2Se structure.

E_form (uncorrected), meV per atom: 884
Total magnetization, μB per formula unit: 0.10

Cell lengths 5.6752, 5.6752, 4.5112 Å; angles 90.00, 90.00, 90.00 degrees
Space group P4/mmm (No. 123)
Unique sites:
Na: 0.0000 0.0000 0.0000 x1
Re: 0.5000 0.5000 0.0000 x1
Bi: 0.0000 0.5000 0.5000 x2
Se: 0.5000 0.5000 0.5000 x1



3.
## NaTlReBi2 (GGA-PBEsol)

Data for a geometry-optimized NaTlReBi2 structure.

Raw total energy, eV per cell: -18.7
Total magnetization, μB per formula unit: 2.91

Cell lengths 5.7892, 5.7892, 5.1883 Å; angles 90.00, 90.00, 90.00 degrees
Space group P4/mmm (No. 123)
Unique sites:
Na: 0.0000 0.0000 0.0000 x1
Tl: 0.5000 0.5000 0.5000 x1
Re: 0.5000 0.5000 0.0000 x1
Bi: 0.0000 0.5000 0.5000 x2